(1)
Entry from the Alexandria database: a relaxed NpPa2Pt6 crystal (GGA-PBE).

The structure in POSCAR format:
```
NpPa2Pt6
1.0
3.608 0.000 0.000
1.804 8.004 1.512
1.804 3.747 7.232
Np Pa Pt
1 2 6
direct
0.500 0.500 0.500
0.359 0.141 0.141
0.641 0.859 0.859
0.178 0.522 0.121
0.822 0.478 0.879
0.822 0.879 0.478
0.000 0.193 0.807
0.000 0.807 0.193
0.178 0.121 0.522
```

Calculated values
space group	Immm
magnetic moment	4.09	μB per formula unit
D(E_F)	15.01	states/eV/f.u.
mass density	16.5	g/cm³
calculated total energy	-8.34	eV/atom
formation energy from the elements	-663.4	kJ/mol of formula units


(2)
Entry from the Alexandria database: a relaxed NpPaPt2 crystal (GGA-PBE).

The structure in POSCAR format:
```
NpPaPt2
1.0
-2.833 -2.413 -1.521
-2.601 -1.840 2.452
-6.073 3.912 -0.210
Np Pa Pt
1 1 2
direct
0.500 0.500 0.500
0.000 0.000 0.000
0.252 0.252 0.243
0.748 0.748 0.757
```

Calculated values
space group	R-3m
magnetic moment	4.76	μB per formula unit
D(E_F)	13.84	states/eV/f.u.
energy above the most stable polymorph in this dataset	0	meV per atom
mass density	14.9	g/cm³
calculated total energy	-9.26	eV/atom
formation energy from the elements	-244.9	kJ/mol of formula units


(3)
Entry from the Alexandria database: a relaxed NpPaPtRh crystal (GGA-PBE).

The structure in POSCAR format:
```
NpPaPtRh
1.0
4.906 0.000 0.000
2.453 4.249 0.000
2.453 1.416 4.006
Np Pa Rh Pt
1 1 1 1
direct
0.000 0.000 0.000
0.500 0.500 0.500
0.250 0.250 0.250
0.750 0.750 0.750
```

Calculated values
space group	F-43m
magnetic moment	4.79	μB per formula unit
D(E_F)	11.07	states/eV/f.u.
energy above the most stable polymorph in this dataset	210	meV per atom
mass density	15.2	g/cm³
calculated total energy	-9.43	eV/atom
formation energy from the elements	-182.7	kJ/mol of formula units


(4)
Entry from the Alexandria database: a relaxed NpPaPtRh crystal (GGA-PBE).

The structure in POSCAR format:
```
NpPaPtRh
1.0
-3.707 2.060 -2.047
-0.100 0.557 -4.675
-2.969 -2.556 -2.613
Np Pa Rh Pt
1 1 1 1
direct
0.500 0.500 0.500
0.250 0.250 0.250
0.750 0.750 0.750
0.000 0.000 0.000
```

Calculated values
space group	F-43m
magnetic moment	3.34	μB per formula unit
D(E_F)	5.60	states/eV/f.u.
energy above the most stable polymorph in this dataset	0	meV per atom
mass density	17.2	g/cm³
calculated total energy	-9.64	eV/atom
formation energy from the elements	-263.8	kJ/mol of formula units


Which of these has the lowest mass density?
NpPaPt2


Number 2 is which compound?
NpPaPt2


Which of these has the lowest magnetic moment?
number 4


What is the calculated total energy in the first record?
-8.34 eV/atom